This record from the Alexandria database describes a geometry-optimized Pa2GaNi structure. The functional is PBE-GGA.

a = 5.8045 Å, b = 5.8045 Å, c = 5.8045 Å
α = 41.62°, β = 41.62°, γ = 41.62°
Atoms (fractional coordinates):
Pa (0.0000, 0.0000, 0.0000)
Pa (0.2356, 0.2356, 0.2356)
Ga (0.7910, 0.7910, 0.7910)
Ni (0.4280, 0.4280, 0.4280)

Properties
ΔH_f (0 K)	-209.6	meV per atom
DOS(E_F)	1.639	states/eV per atom